# 1
VASP calculation (GGA+U) on a relaxed Ba2PuCo3O12 crystal.

Crystal system ... trigonal
Uncorrected energy ... -360.40 eV for the cell shown

The structure in CIF format:
```
data_Ba2PuCo3O12
_chemical_formula_sum 'Ba6 Pu3 Co9 O36'
_symmetry_space_group_name_H-M 'R -3 m'
_symmetry_Int_Tables_number 166
_symmetry_space_group_name_Hall '-R 3 2"'
_cell_length_a 6.7828
_cell_length_b 6.7828
_cell_length_c 18.0055
_cell_angle_alpha 90.00
_cell_angle_beta 90.00
_cell_angle_gamma 120.00
loop_
_atom_site_label
_atom_site_type_symbol
_atom_site_fract_x
_atom_site_fract_y
_atom_site_fract_z
_atom_site_occupancy
Ba1 Ba 0.0000 0.0000 0.1084 1
Pu1 Pu 0.0000 0.0000 0.5000 1
Co1 Co 0.0000 0.5000 0.0000 1
O1 O 0.0501 0.5251 0.1049 1
O2 O 0.0617 0.5308 0.3536 1
```

=====

# 2
VASP calculation (GGA+U) on a relaxed BaPuCo2O8 crystal.

Crystal system ... tetragonal
Uncorrected energy ... -167.52 eV for the cell shown

The structure in CIF format:
```
data_BaPuCo2O8
_chemical_formula_sum 'Ba2 Pu2 Co4 O16'
_symmetry_space_group_name_H-M 'I -4 m 2'
_symmetry_Int_Tables_number 119
_symmetry_space_group_name_Hall 'I -4 -2'
_cell_length_a 7.2941
_cell_length_b 7.2941
_cell_length_c 6.6450
_cell_angle_alpha 90.00
_cell_angle_beta 90.00
_cell_angle_gamma 90.00
loop_
_atom_site_label
_atom_site_type_symbol
_atom_site_fract_x
_atom_site_fract_y
_atom_site_fract_z
_atom_site_occupancy
Ba1 Ba 0.0000 0.0000 0.0000 1
Pu1 Pu 0.0000 0.5000 0.2500 1
Co1 Co 0.0000 0.0000 0.5000 1
Co2 Co 0.0000 0.5000 0.7500 1
O1 O 0.0000 0.2241 0.3297 1
O2 O 0.0000 0.3392 0.9333 1
```

=====

Number 1: density 6.16 g cm⁻³, calculated volume 13.28 Å³/atom. Number 2: density 5.89 g cm⁻³, calculated volume 14.73 Å³/atom.